{
  "formula": "LaGd2Ga",
  "functional": "PBE",
  "state": "optimized geometry",
  "spacegroup": "P4/mmm (123)",
  "lattice_angstrom": [[3.611, 0.000, 0.000], [0.000, 3.611, 0.000], [0.000, 0.000, 8.969]],
  "species": ["Gd", "Ga", "La", "Gd"],
  "fractional_positions": [[0.000, 0.000, 0.799], [0.500, 0.500, 0.000], [0.500, 0.500, 0.500], [0.000, 0.000, 0.201]]
}

***

{
  "formula": "LaGdLuGa",
  "functional": "PBE",
  "state": "optimized geometry",
  "spacegroup": "F-43m (216)",
  "lattice_angstrom": [[-1.970, -4.022, 3.020], [-2.069, -4.392, -2.369], [2.631, -4.710, 0.275]],
  "species": ["Ga", "La", "Gd", "Lu"],
  "fractional_positions": [[0.000, 0.000, 0.000], [0.250, 0.250, 0.250], [0.750, 0.750, 0.750], [0.500, 0.500, 0.500]]
}

***

{
  "formula": "LaGdMgGa",
  "functional": "PBE",
  "state": "optimized geometry",
  "spacegroup": "F-43m (216)",
  "lattice_angstrom": [[-1.335, -1.419, -4.966], [3.494, -2.633, -3.052], [-0.827, -5.137, -1.175]],
  "species": ["Ga", "Mg", "La", "Gd"],
  "fractional_positions": [[0.250, 0.250, 0.250], [0.750, 0.750, 0.750], [0.500, 0.500, 0.500], [0.000, 0.000, 0.000]]
}

***

{
  "formula": "NaLaGdGa",
  "functional": "PBE",
  "state": "optimized geometry",
  "spacegroup": "F-43m (216)",
  "lattice_angstrom": [[-4.566, -0.141, -2.859], [-0.652, -3.708, -3.856], [-3.499, -4.037, 0.708]],
  "species": ["La", "Na", "Gd", "Ga"],
  "fractional_positions": [[0.000, 0.000, 0.000], [0.250, 0.250, 0.250], [0.500, 0.500, 0.500], [0.750, 0.750, 0.750]]
}

***

{
  "formula": "LaGdGaNi",
  "functional": "PBE",
  "state": "optimized geometry",
  "spacegroup": "F-43m (216)",
  "lattice_angstrom": [[-1.993, 3.751, 2.828], [-4.452, -0.699, 2.393], [-0.125, -0.428, 5.083]],
  "species": ["Ga", "Gd", "Ni", "La"],
  "fractional_positions": [[0.000, 0.000, 0.000], [0.750, 0.750, 0.750], [0.500, 0.500, 0.500], [0.250, 0.250, 0.250]]
}

***

{
  "formula": "LaGdGaOs",
  "functional": "PBE",
  "state": "optimized geometry",
  "spacegroup": "F-43m (216)",
  "lattice_angstrom": [[-1.103, -4.904, -0.726], [3.740, -3.415, -0.377], [0.761, -3.355, 3.736]],
  "species": ["La", "Gd", "Ga", "Os"],
  "fractional_positions": [[0.000, 0.000, 0.000], [0.500, 0.500, 0.500], [0.250, 0.250, 0.250], [0.750, 0.750, 0.750]]
}

***

{
  "formula": "LaGdPaGa",
  "functional": "PBE",
  "state": "optimized geometry",
  "spacegroup": "F-43m (216)",
  "lattice_angstrom": [[5.321, 0.000, 0.000], [2.661, 4.608, 0.000], [2.661, 1.536, 4.345]],
  "species": ["Ga", "La", "Gd", "Pa"],
  "fractional_positions": [[0.000, 0.000, 0.000], [0.750, 0.750, 0.750], [0.250, 0.250, 0.250], [0.500, 0.500, 0.500]]
}

***

{
  "formula": "LaGdGaPt",
  "functional": "PBE",
  "state": "optimized geometry",
  "spacegroup": "F-43m (216)",
  "lattice_angstrom": [[-0.464, -4.680, 2.149], [3.969, -2.056, 2.600], [-0.245, -0.470, 5.144]],
  "species": ["Gd", "La", "Ga", "Pt"],
  "fractional_positions": [[0.000, 0.000, 0.000], [0.500, 0.500, 0.500], [0.250, 0.250, 0.250], [0.750, 0.750, 0.750]]
}

***

{
  "formula": "LaGdGaRh",
  "functional": "PBE",
  "state": "optimized geometry",
  "spacegroup": "F-43m (216)",
  "lattice_angstrom": [[-4.529, -2.221, -0.860], [-2.691, -1.920, 3.906], [-4.310, 2.305, 1.516]],
  "species": ["La", "Rh", "Ga", "Gd"],
  "fractional_positions": [[0.000, 0.000, 0.000], [0.250, 0.250, 0.250], [0.750, 0.750, 0.750], [0.500, 0.500, 0.500]]
}

***

{
  "formula": "LaGdGaRu",
  "functional": "PBE",
  "state": "optimized geometry",
  "spacegroup": "F-43m (216)",
  "lattice_angstrom": [[-3.322, 3.766, 0.816], [-4.543, -0.075, -2.289], [-4.208, -0.866, 2.725]],
  "species": ["Ga", "La", "Gd", "Ru"],
  "fractional_positions": [[0.250, 0.250, 0.250], [0.000, 0.000, 0.000], [0.500, 0.500, 0.500], [0.750, 0.750, 0.750]]
}

***

{
  "formula": "LaSmGdGa",
  "functional": "PBE",
  "state": "optimized geometry",
  "spacegroup": "F-43m (216)",
  "lattice_angstrom": [[5.461, 0.000, 0.000], [2.730, 4.729, 0.000], [2.730, 1.576, 4.459]],
  "species": ["Ga", "Sm", "La", "Gd"],
  "fractional_positions": [[0.250, 0.250, 0.250], [0.500, 0.500, 0.500], [0.000, 0.000, 0.000], [0.750, 0.750, 0.750]]
}

***

{
  "formula": "LaGdGaSn",
  "functional": "PBE",
  "state": "optimized geometry",
  "spacegroup": "F-43m (216)",
  "lattice_angstrom": [[-4.418, -2.767, -1.305], [-2.350, -3.183, 3.638], [-4.750, 1.374, 2.104]],
  "species": ["Gd", "Sn", "La", "Ga"],
  "fractional_positions": [[0.000, 0.000, 0.000], [0.250, 0.250, 0.250], [0.500, 0.500, 0.500], [0.750, 0.750, 0.750]]
}

***

| no. | VASP energy (eV/cell) | ΔE_f (eV/atom) |
| --- | --- | --- |
| 1 | -37.25 | -0.284 |
| 2 | -27.13 | -0.145 |
| 3 | -24.99 | -0.339 |
| 4 | -23.97 | -0.154 |
| 5 | -29.28 | -0.366 |
| 6 | -34.20 | -0.235 |
| 7 | -30.94 | 0.149 |
| 8 | -31.20 | -0.782 |
| 9 | -31.70 | -0.578 |
| 10 | -32.69 | -0.345 |
| 11 | -27.28 | -0.132 |
| 12 | -28.41 | -0.593 |